[1]
# LiPbBr2, relaxed, DFT GGA-PBE
data_LiPbBr2
_cell_length_a 4.373
_cell_length_b 8.351
_cell_length_c 8.351
_cell_angle_alpha 25.86
_cell_angle_beta 90.00
_cell_angle_gamma 90.00
_symmetry_space_group_name_H-M 'P 1'
_symmetry_Int_Tables_number 1
_symmetry_space_group_name_Hall 'P 1'
loop_
_atom_site_label
_atom_site_fract_x
_atom_site_fract_y
_atom_site_fract_z
_atom_site_occupancy
Li1 0.000 0.000 0.000 1
Pb1 0.500 0.739 0.739 1
Br1 0.000 0.608 0.608 1
Br2 0.500 0.924 0.924 1
# Size of the total moment = 0.00 μB per formula unit
# Calculated total energy = -3.151 eV per atom
# Energy relative to the lowest polymorph listed for this composition = 38.0 meV/atom

[2]
# LiPb2Br, relaxed, DFT GGA-PBE
data_LiPb2Br
_cell_length_a 3.521
_cell_length_b 3.521
_cell_length_c 9.517
_cell_angle_alpha 90.00
_cell_angle_beta 90.00
_cell_angle_gamma 110.19
_symmetry_space_group_name_H-M 'P 1'
_symmetry_Int_Tables_number 1
_symmetry_space_group_name_Hall 'P 1'
loop_
_atom_site_label
_atom_site_fract_x
_atom_site_fract_y
_atom_site_fract_z
_atom_site_occupancy
Li1 0.000 0.000 0.000 1
Pb1 0.500 0.500 0.240 1
Pb2 0.500 0.500 0.760 1
Br1 0.000 0.000 0.500 1
# Size of the total moment = 0.00 μB per formula unit
# Calculated total energy = -2.911 eV per atom
# Energy relative to the lowest polymorph listed for this composition = 454.7 meV/atom

[3]
# Li2Pb5Br12, relaxed, DFT GGA-PBE
data_Li2Pb5Br12
_cell_length_a 9.043
_cell_length_b 9.043
_cell_length_c 11.104
_cell_angle_alpha 111.01
_cell_angle_beta 111.01
_cell_angle_gamma 56.03
_symmetry_space_group_name_H-M 'P 1'
_symmetry_Int_Tables_number 1
_symmetry_space_group_name_Hall 'P 1'
loop_
_atom_site_label
_atom_site_fract_x
_atom_site_fract_y
_atom_site_fract_z
_atom_site_occupancy
Li1 0.188 0.812 0.000 1
Li2 0.812 0.188 0.000 1
Pb1 0.188 0.188 0.371 1
Pb2 0.240 0.240 0.988 1
Pb3 0.500 0.500 0.500 1
Pb4 0.760 0.760 0.012 1
Pb5 0.812 0.812 0.629 1
Br1 0.012 0.012 0.824 1
Br2 0.069 0.581 0.870 1
Br3 0.114 0.607 0.484 1
Br4 0.393 0.886 0.516 1
Br5 0.419 0.931 0.130 1
Br6 0.420 0.420 0.195 1
Br7 0.580 0.580 0.805 1
Br8 0.581 0.069 0.870 1
Br9 0.607 0.114 0.484 1
Br10 0.886 0.393 0.516 1
Br11 0.931 0.419 0.130 1
Br12 0.988 0.988 0.176 1
# Size of the total moment = 0.00 μB per formula unit
# Calculated total energy = -3.236 eV per atom

[4]
# LiPbBr2, relaxed, DFT GGA-PBE
data_LiPbBr2
_cell_length_a 9.154
_cell_length_b 9.154
_cell_length_c 9.154
_cell_angle_alpha 24.16
_cell_angle_beta 24.16
_cell_angle_gamma 24.16
_symmetry_space_group_name_H-M 'P 1'
_symmetry_Int_Tables_number 1
_symmetry_space_group_name_Hall 'P 1'
loop_
_atom_site_label
_atom_site_fract_x
_atom_site_fract_y
_atom_site_fract_z
_atom_site_occupancy
Li1 0.000 0.000 0.000 1
Pb1 0.500 0.500 0.500 1
Br1 0.391 0.391 0.391 1
Br2 0.609 0.609 0.609 1
# Size of the total moment = 0.00 μB per formula unit
# Calculated total energy = -3.173 eV per atom
# Energy relative to the lowest polymorph listed for this composition = 15.6 meV/atom

[5]
# LiPbBr2, relaxed, DFT GGA-PBE
data_LiPbBr2
_cell_length_a 3.662
_cell_length_b 3.748
_cell_length_c 8.496
_cell_angle_alpha 90.00
_cell_angle_beta 101.50
_cell_angle_gamma 90.00
_symmetry_space_group_name_H-M 'P 1'
_symmetry_Int_Tables_number 1
_symmetry_space_group_name_Hall 'P 1'
loop_
_atom_site_label
_atom_site_fract_x
_atom_site_fract_y
_atom_site_fract_z
_atom_site_occupancy
Li1 0.000 0.000 0.000 1
Pb1 0.000 0.000 0.500 1
Br1 0.168 0.500 0.805 1
Br2 0.832 0.500 0.195 1
# Size of the total moment = 0.00 μB per formula unit
# Calculated total energy = -3.128 eV per atom
# Energy relative to the lowest polymorph listed for this composition = 60.7 meV/atom

[6]
# Li2PbBr, relaxed, DFT GGA-PBE
data_Li2PbBr
_cell_length_a 8.400
_cell_length_b 8.400
_cell_length_c 8.400
_cell_angle_alpha 156.54
_cell_angle_beta 156.31
_cell_angle_gamma 33.58
_symmetry_space_group_name_H-M 'P 1'
_symmetry_Int_Tables_number 1
_symmetry_space_group_name_Hall 'P 1'
loop_
_atom_site_label
_atom_site_fract_x
_atom_site_fract_y
_atom_site_fract_z
_atom_site_occupancy
Li1 0.000 0.000 0.000 1
Li2 0.701 0.201 0.500 1
Pb1 0.330 0.830 0.500 1
Br1 0.572 0.572 0.000 1
# Size of the total moment = 0.00 μB per formula unit
# Calculated total energy = -3.018 eV per atom
# Energy relative to the lowest polymorph listed for this composition = 41.0 meV/atom

[7]
# LiPbBr2, relaxed, DFT GGA-PBE
data_LiPbBr2
_cell_length_a 3.773
_cell_length_b 3.773
_cell_length_c 8.876
_cell_angle_alpha 90.00
_cell_angle_beta 90.00
_cell_angle_gamma 108.94
_symmetry_space_group_name_H-M 'P 1'
_symmetry_Int_Tables_number 1
_symmetry_space_group_name_Hall 'P 1'
loop_
_atom_site_label
_atom_site_fract_x
_atom_site_fract_y
_atom_site_fract_z
_atom_site_occupancy
Li1 0.000 0.000 0.000 1
Pb1 0.500 0.500 0.473 1
Br1 0.000 0.000 0.721 1
Br2 0.500 0.500 0.123 1
# Size of the total moment = 0.00 μB per formula unit
# Calculated total energy = -3.134 eV per atom
# Energy relative to the lowest polymorph listed for this composition = 55.4 meV/atom

[8]
# Li2PbBr, relaxed, DFT GGA-PBE
data_Li2PbBr
_cell_length_a 5.372
_cell_length_b 5.372
_cell_length_c 5.372
_cell_angle_alpha 60.00
_cell_angle_beta 60.00
_cell_angle_gamma 60.00
_symmetry_space_group_name_H-M 'P 1'
_symmetry_Int_Tables_number 1
_symmetry_space_group_name_Hall 'P 1'
loop_
_atom_site_label
_atom_site_fract_x
_atom_site_fract_y
_atom_site_fract_z
_atom_site_occupancy
Li1 0.000 0.000 0.000 1
Li2 0.250 0.250 0.250 1
Pb1 0.750 0.750 0.750 1
Br1 0.500 0.500 0.500 1
# Size of the total moment = 0.00 μB per formula unit
# Calculated total energy = -2.403 eV per atom
# Energy relative to the lowest polymorph listed for this composition = 656.0 meV/atom

We obtain energy relative to the elements, uncorrected values of -0.909, -0.160, -1.002, -0.931, -0.886, -0.716, -0.892, -0.101 eV/atom for the records listed above, in that order.